# 1
# Be4Rh meta-GGA SCAN PBEsol geometry
# Space-group type   I4/m (87)
# Calculated volume   45 Å³/cell
# E_form   -0.426 eV per atom
# Electronic total energy   -10.663 eV/atom
# Crystal system   tetragonal
data_Be4Rh
_cell_length_a 4.265
_cell_length_b 4.265
_cell_length_c 4.265
_cell_angle_alpha 96.11
_cell_angle_beta 96.11
_cell_angle_gamma 141.93
_symmetry_space_group_name_H-M 'P 1'
_symmetry_Int_Tables_number 1
loop_
_symmetry_equiv_pos_as_xyz
'x,y,z'
loop_
_atom_site_label
_atom_site_type_symbol
_atom_site_fract_x
_atom_site_fract_y
_atom_site_fract_z
Be1 Be 0.106 0.690 0.796
Be2 Be 0.310 0.106 0.415
Be3 Be 0.690 0.894 0.585
Be4 Be 0.894 0.310 0.204
Rh1 Rh 0.500 0.500 0.000

***

# 2
# Be3Rh meta-GGA SCAN PBEsol geometry
# Space-group type   Pm-3m (221)
# Calculated volume   74 Å³/cell
# E_form   0.588 eV per atom
# Electronic total energy   -11.120 eV/atom
# Crystal system   cubic
data_Be3Rh
_cell_length_a 4.200
_cell_length_b 4.200
_cell_length_c 4.200
_cell_angle_alpha 90.00
_cell_angle_beta 90.00
_cell_angle_gamma 90.00
_symmetry_space_group_name_H-M 'P 1'
_symmetry_Int_Tables_number 1
loop_
_symmetry_equiv_pos_as_xyz
'x,y,z'
loop_
_atom_site_label
_atom_site_type_symbol
_atom_site_fract_x
_atom_site_fract_y
_atom_site_fract_z
Be1 Be 0.000 0.000 0.500
Be2 Be 0.000 0.500 0.000
Be3 Be 0.500 0.000 0.000
Rh1 Rh 0.000 0.000 0.000

***

- Number 2 is which compound?
  Be3Rh

***

- Look up the E_form of the first one.
  -0.426 eV per atom